Record 1
A plane-wave DFT calculation with PBE-GGA was carried out for a relaxed structure of BaCd2Pd4.

Results
SG: I4/mmm (139)

abc: 5.7685 5.7685 5.7685
angles: 104.14 104.14 120.75
Closest atoms and distances in Å follow each position.
Atoms (fractional coordinates):
Ba: 0.0000 0.0000 0.0000  4 Pd 3.06
Cd: 0.2500 0.7500 0.5000  2 Cd 2.85, 8 Pd 2.94
Cd: 0.7500 0.2500 0.5000  2 Cd 2.85, 8 Pd 2.94
Pd: 0.3052 0.3052 0.6104  4 Pd 2.76-3.06, 4 Cd 2.94, 1 Ba 3.06
Pd: 0.3052 0.6948 0.0000  4 Pd 2.76-3.06, 4 Cd 2.94, 1 Ba 3.06
Pd: 0.6948 0.3052 0.0000  4 Pd 2.76-3.06, 4 Cd 2.94, 1 Ba 3.06
Pd: 0.6948 0.6948 0.3896  4 Pd 2.76-3.06, 4 Cd 2.94, 1 Ba 3.06



Record 2
A plane-wave DFT calculation with PBE-GGA was carried out for a relaxed structure of Ba5Cd4Pd.

Results
SG: P4/mmm (123)

abc: 4.1324 4.1324 21.4629
angles: 90.00 90.00 90.00
Closest atoms and distances in Å follow each position.
Atoms (fractional coordinates):
Ba: 0.0000 0.0000 0.0000  8 Cd 3.68
Ba: 0.0000 0.0000 0.2064  8 Cd 3.65-3.66
Ba: 0.0000 0.0000 0.4136  4 Pd 3.46, 4 Cd 3.69, 1 Ba 3.71
Ba: 0.0000 0.0000 0.5864  4 Pd 3.46, 4 Cd 3.69, 1 Ba 3.71
Ba: 0.0000 0.0000 0.7936  8 Cd 3.65-3.66
Cd: 0.5000 0.5000 0.1038  8 Ba 3.66-3.68
Cd: 0.5000 0.5000 0.3083  8 Ba 3.65-3.69
Cd: 0.5000 0.5000 0.6917  8 Ba 3.65-3.69
Cd: 0.5000 0.5000 0.8962  8 Ba 3.66-3.68
Pd: 0.5000 0.5000 0.5000  8 Ba 3.46



Record 3
A plane-wave DFT calculation with PBE-GGA was carried out for a relaxed structure of Ba2Cd3Pd5.

Results
SG: Ibam (72)

abc: 9.4315 9.4315 9.4315
angles: 108.30 84.20 141.90
Closest atoms and distances in Å follow each position.
Atoms (fractional coordinates):
Ba: 0.1278 0.2403 0.3681  7 Pd 3.24-3.55, 3 Cd 3.54-3.60
Ba: 0.3722 0.7403 0.1126  7 Pd 3.24-3.55, 3 Cd 3.54-3.60
Ba: 0.6278 0.2597 0.8874  7 Pd 3.24-3.55, 3 Cd 3.54-3.60
Ba: 0.8722 0.7597 0.6319  7 Pd 3.24-3.55, 3 Cd 3.54-3.60
Cd: 0.1484 0.9159 0.0643  5 Pd 2.75-2.77
Cd: 0.2500 0.7500 0.5000  6 Pd 2.82-2.87, 2 Cd 3.08
Cd: 0.3516 0.4159 0.7675  5 Pd 2.75-2.77
Cd: 0.6484 0.5841 0.2325  5 Pd 2.75-2.77
Cd: 0.7500 0.2500 0.5000  6 Pd 2.82-2.87, 2 Cd 3.08
Cd: 0.8516 0.0841 0.9357  5 Pd 2.75-2.77
Pd: 0.0487 0.7500 0.2987  4 Pd 2.75-3.08, 3 Cd 2.77-2.82
Pd: 0.1090 0.6700 0.7790  2 Pd 2.75, 3 Cd 2.77-2.87
Pd: 0.2500 0.2500 0.0000  4 Cd 2.75
Pd: 0.3910 0.1700 0.5610  2 Pd 2.75, 3 Cd 2.77-2.87
Pd: 0.4513 0.7500 0.7013  4 Pd 2.75-3.08, 3 Cd 2.77-2.82
Pd: 0.5487 0.2500 0.2987  4 Pd 2.75-3.08, 3 Cd 2.77-2.82
Pd: 0.6090 0.8300 0.4390  2 Pd 2.75, 3 Cd 2.77-2.87
Pd: 0.7500 0.7500 0.0000  4 Cd 2.75
Pd: 0.8910 0.3300 0.2210  2 Pd 2.75, 3 Cd 2.77-2.87
Pd: 0.9513 0.2500 0.7013  4 Pd 2.75-3.08, 3 Cd 2.77-2.82



Record 4
A plane-wave DFT calculation with PBE-GGA was carried out for a relaxed structure of Ba2Cd3Pd2.

Results
SG: C2/m (12)

abc: 6.1919 6.1919 8.1620
angles: 113.50 113.50 42.93
Closest atoms and distances in Å follow each position.
Atoms (fractional coordinates):
Ba: 0.1367 0.1367 0.2673  4 Pd 3.22-3.56, 3 Cd 3.52-3.58
Ba: 0.8633 0.8633 0.7327  4 Pd 3.22-3.56, 3 Cd 3.52-3.58
Cd: 0.3530 0.3530 0.0659  3 Pd 2.92-2.97, 3 Cd 3.12-3.21
Cd: 0.5000 0.5000 0.5000  4 Pd 2.83
Cd: 0.6470 0.6470 0.9341  3 Pd 2.92-2.97, 3 Cd 3.12-3.21
Pd: 0.1326 0.1326 0.7014  5 Cd 2.83-2.97
Pd: 0.8674 0.8674 0.2986  5 Cd 2.83-2.97



Record 5
A plane-wave DFT calculation with PBE-GGA was carried out for a relaxed structure of Ba12CdPd5.

Results
SG: C2/m (12)

abc: 8.2221 8.2221 15.1901
angles: 90.09 90.09 121.64
Closest atoms and distances in Å follow each position.
Atoms (fractional coordinates):
Ba: 0.0041 0.6704 0.6116  3 Pd 3.19-3.22
Ba: 0.1361 0.1361 0.1205  2 Pd 3.19, 1 Cd 3.45
Ba: 0.1442 0.5045 0.8814  2 Pd 3.18, 1 Cd 3.45
Ba: 0.3296 0.9959 0.3884  3 Pd 3.19-3.22
Ba: 0.3366 0.3366 0.6147  3 Pd 3.21-3.23
Ba: 0.4955 0.8558 0.1186  2 Pd 3.18, 1 Cd 3.45
Ba: 0.5045 0.1442 0.8814  2 Pd 3.18, 1 Cd 3.45
Ba: 0.6634 0.6634 0.3853  3 Pd 3.21-3.23
Ba: 0.6704 0.0041 0.6116  3 Pd 3.19-3.22
Ba: 0.8558 0.4955 0.1186  2 Pd 3.18, 1 Cd 3.45
Ba: 0.8639 0.8639 0.8795  2 Pd 3.19, 1 Cd 3.45
Ba: 0.9959 0.3296 0.3884  3 Pd 3.19-3.22
Cd: 0.5000 0.5000 0.0000  6 Ba 3.45
Pd: 0.0000 0.0000 0.5000  6 Ba 3.21
Pd: 0.1652 0.8348 0.0000  6 Ba 3.18-3.19
Pd: 0.3346 0.6654 0.5000  6 Ba 3.19-3.23
Pd: 0.6654 0.3346 0.5000  6 Ba 3.19-3.23
Pd: 0.8348 0.1652 0.0000  6 Ba 3.18-3.19



Record 6
A plane-wave DFT calculation with PBE-GGA was carried out for a relaxed structure of BaCd8Pd4.

Results
SG: I4/mmm (139)

abc: 7.4819 7.4819 7.4819
angles: 98.63 98.63 134.43
Closest atoms and distances in Å follow each position.
Atoms (fractional coordinates):
Ba: 0.0000 0.0000 0.0000  12 Cd 3.36-3.63, 8 Pd 3.74
Cd: 0.0000 0.3443 0.3443  4 Pd 2.98, 5 Cd 3.04-3.13
Cd: 0.0000 0.6557 0.6557  4 Pd 2.98, 5 Cd 3.04-3.13
Cd: 0.2763 0.5000 0.7763  4 Pd 2.85, 6 Cd 3.09-3.13
Cd: 0.3443 0.0000 0.3443  4 Pd 2.98, 5 Cd 3.04-3.13
Cd: 0.5000 0.2763 0.7763  4 Pd 2.85, 6 Cd 3.09-3.13
Cd: 0.5000 0.7237 0.2237  4 Pd 2.85, 6 Cd 3.09-3.13
Cd: 0.6557 0.0000 0.6557  4 Pd 2.98, 5 Cd 3.04-3.13
Cd: 0.7237 0.5000 0.2237  4 Pd 2.85, 6 Cd 3.09-3.13
Pd: 0.0000 0.0000 0.5000  8 Cd 2.85-2.98, 2 Pd 2.90
Pd: 0.0000 0.5000 0.0000  8 Cd 2.85-2.98, 2 Pd 2.90
Pd: 0.5000 0.0000 0.0000  8 Cd 2.85-2.98, 2 Pd 2.90
Pd: 0.5000 0.5000 0.5000  8 Cd 2.85-2.98, 2 Pd 2.90



Taking the records one at a time from the top gives ρ values of 9.12; 5.63; 7.98; 7.11; 4.35; 8.81 g/cm³.
Taking the records one at a time from the top gives energy of formation from the pure elements values of -379; -340; -436; -470; -360; -355 meV/atom.